Computed, not measured: an optimized crystal structure of Re5Rh3 at the PBE level of DFT.

abc: 4.9108 4.5500 5.4832
angles: 90.00 94.81 90.00
Space group P2/m (No. 10)
Asymmetric unit:
Re 0.0000 0.0000 0.0000 (multiplicity 1)
Re 0.2906 0.5000 0.3559 (multiplicity 2)
Re 0.4773 0.0000 0.2306 (multiplicity 2)
Rh 0.0000 0.0000 0.5000 (multiplicity 1)
Rh 0.2120 0.5000 0.8307 (multiplicity 2)

Values from the calculation:
For the energy above the most stable polymorph in this dataset, the calculation gives 0.418 eV per atom. For the formation energy, the calculation gives 0.28 eV/atom. As for the crystal system: monoclinic.

Computed, not measured: an optimized crystal structure of ReRh5 at the PBE level of DFT.

abc: 4.3876 2.7454 14.1998
angles: 90.00 90.00 90.00
Space group Amm2 (No. 38)
Asymmetric unit:
Re 0.0000 0.0000 0.0000 (multiplicity 2)
Rh 0.0000 0.0000 0.3352 (multiplicity 2)
Rh 0.0000 0.0000 0.6621 (multiplicity 2)
Rh 0.5000 0.0000 0.1104 (multiplicity 2)
Rh 0.5000 0.0000 0.4436 (multiplicity 2)
Rh 0.5000 0.0000 0.7758 (multiplicity 2)

Values from the calculation:
For the energy above the most stable polymorph in this dataset, the calculation gives 0.000 eV per atom. For the formation energy, the calculation gives -0.08 eV/atom. As for the crystal system: orthorhombic.

Computed, not measured: an optimized crystal structure of ReRh3 at the PBE level of DFT.

abc: 2.7279 2.7279 15.4555
angles: 90.00 90.00 90.00
Space group P4/nmm (No. 129, origin choice 2)
Asymmetric unit:
Re 0.2500 0.2500 0.1872 (multiplicity 2)
Rh 0.2500 0.2500 0.4404 (multiplicity 2)
Rh 0.2500 0.2500 0.6904 (multiplicity 2)
Rh 0.2500 0.2500 0.9332 (multiplicity 2)

Values from the calculation:
For the energy above the most stable polymorph in this dataset, the calculation gives 0.031 eV per atom. For the formation energy, the calculation gives -0.08 eV/atom. As for the crystal system: tetragonal.

Question: Which value of energy above the most stable polymorph in this dataset does entry 3 give?
Answer: 0.031 eV per atom